A.
Material: CrBrCl2
Method: DFT, PBE
State: optimized geometry

Results
Magnetic moment = 3.00 Bohr magnetons per cell
Space-group type = Fm-3m (225)

Structure (extended XYZ):
```
4
Lattice="0.0000 3.4866 3.4866 3.4866 0.0000 3.4866 3.4866 3.4866 0.0000" Properties=species:S:1:pos:R:3 pbc="T T T"
Cr 0.0000 0.0000 0.0000
Br 3.4866 3.4866 3.4866
Cl 1.7433 1.7433 1.7433
Cl 5.2299 5.2299 5.2299
```

B.
Material: CrBrCl2
Method: DFT, PBE
State: optimized geometry

Results
Magnetic moment = 6.00 Bohr magnetons per cell
Space-group type = I-42d (122)

Structure (extended XYZ):
```
8
Lattice="-3.6295 3.6295 4.5819 3.6295 -3.6295 4.5819 3.6295 3.6295 -4.5819" Properties=species:S:1:pos:R:3 pbc="T T T"
Cr 0.0000 0.0000 0.0000
Cr 0.0000 3.6295 2.2909
Br 3.6295 0.0000 2.2909
Br 0.0000 0.0000 4.5819
Cl 0.8065 1.8148 1.1455
Cl -1.8148 2.8231 3.4364
Cl -0.8065 5.4443 1.1455
Cl 1.8148 4.4360 3.4364
```

C.
Material: CrBrCl2
Method: DFT, PBE
State: optimized geometry

Results
Magnetic moment = 3.25 Bohr magnetons per cell
Space-group type = R-3m (166)

Structure (extended XYZ):
```
4
Lattice="1.6685 0.9633 12.2054 -1.6685 0.9633 12.2054 0.0000 -1.9266 12.2054" Properties=species:S:1:pos:R:3 pbc="T T T"
Cr 0.0000 0.0000 0.0000
Br 0.0000 0.0000 18.3082
Cl 0.0000 0.0000 2.1381
Cl 0.0000 0.0000 34.4782
```

D.
Material: CrBrCl2
Method: DFT, PBE
State: optimized geometry

Results
Magnetic moment = 3.00 Bohr magnetons per cell
Space-group type = Pm (6)

Structure (extended XYZ):
```
4
Lattice="4.7218 0.0000 0.0000 0.0000 3.5555 0.0000 -2.3521 0.0000 6.6749" Properties=species:S:1:pos:R:3 pbc="T T T"
Cr 0.0000 0.0000 0.0000
Br 0.0000 1.7777 1.7562
Cl 0.0083 0.0000 6.3961
Cl 2.3695 1.7777 5.0866
```

Pick the most stable structure from those above. Pick: D